(1)
Entry from Alexandria: a PBEsol-optimized structure of Si2PBr (SCAN).

```
data_Si2PBr
_cell_length_a 4.180
_cell_length_b 3.602
_cell_length_c 6.086
_cell_angle_alpha 90.00
_cell_angle_beta 108.88
_cell_angle_gamma 90.00
_space_group_name_H-M_alt 'P 1 m 1'
_space_group_IT_number 6
_space_group_name_Hall 'P -2y'
loop_
_atom_site_label
_atom_site_type_symbol
_atom_site_fract_x
_atom_site_fract_y
_atom_site_fract_z
Si1 Si 0.000 0.000 0.000
Si2 Si 0.417 0.500 0.097
P1 P 0.652 0.500 0.812
Br1 Br 0.922 0.000 0.372
```

Properties
M_tot = 0.0 μB per cell
Crystal system = monoclinic
Relative energy among the computed polymorphs = 0 kJ/mol of formula units

=====

(2)
Entry from Alexandria: a PBEsol-optimized structure of HfCuAsBr2 (SCAN).

```
data_HfCuAsBr2
_cell_length_a 5.082
_cell_length_b 5.082
_cell_length_c 5.256
_cell_angle_alpha 90.00
_cell_angle_beta 90.00
_cell_angle_gamma 90.00
_space_group_name_H-M_alt 'P 4/m m m'
_space_group_IT_number 123
_space_group_name_Hall '-P 4 2'
loop_
_atom_site_label
_atom_site_type_symbol
_atom_site_fract_x
_atom_site_fract_y
_atom_site_fract_z
Hf1 Hf 0.000 0.000 0.000
Cu1 Cu 0.500 0.500 0.500
As1 As 0.000 0.000 0.500
Br1 Br 0.000 0.500 0.000
```

Properties
M_tot = 0.0 μB per cell
Crystal system = tetragonal

=====

(3)
Entry from Alexandria: a PBEsol-optimized structure of Re3Ir (SCAN).

```
data_Re3Ir
_cell_length_a 3.255
_cell_length_b 3.255
_cell_length_c 5.554
_cell_angle_alpha 90.00
_cell_angle_beta 90.00
_cell_angle_gamma 90.00
_space_group_name_H-M_alt 'P 4/m m m'
_space_group_IT_number 123
_space_group_name_Hall '-P 4 2'
loop_
_atom_site_label
_atom_site_type_symbol
_atom_site_fract_x
_atom_site_fract_y
_atom_site_fract_z
Re1 Re 0.000 0.000 0.000
Re2 Re 0.500 0.500 0.260
Ir1 Ir 0.000 0.000 0.500
```

Properties
E_form = 0.260 eV per atom
M_tot = 0.0 μB per cell
Crystal system = tetragonal

=====

Number 1: electronic total energy -12.3529 eV/atom. Number 2: electronic total energy -27.3781 eV/atom. Number 3: electronic total energy -70.8375 eV/atom.